# 1
GeBAsIr2 after structural relaxation. Source: Alexandria, functional PBE-GGA.

M_tot in μB/cell: 0.00
Calculated volume in A^3/atom: 20.41
Electronic total energy in eV per atom: -4.77

Cell lengths 4.6086, 4.8045, 4.6086 Å; angles 90.00, 90.00, 90.00 degrees
Element x y z (fractional)
B 0.5000 0.5000 0.5000
Ge 0.0000 0.0000 0.0000
As 0.0000 0.5000 0.0000
Ir 0.5000 0.0000 0.0000
Ir 0.0000 0.0000 0.5000

=====

# 2
Mn2GeBAs after structural relaxation. Source: Alexandria, functional PBE-GGA.

M_tot in μB/cell: 7.19
Calculated volume in A^3/atom: 21.92
Electronic total energy in eV per atom: -5.41

Cell lengths 4.6394, 5.0909, 4.6394 Å; angles 90.00, 90.00, 90.00 degrees
Element x y z (fractional)
Mn 0.0000 0.0000 0.5000
Mn 0.5000 0.0000 0.0000
B 0.5000 0.5000 0.5000
As 0.0000 0.0000 0.0000
Ge 0.0000 0.5000 0.0000

=====

These records have energy relative to the elements values of 1.9604 1.4440 eV/atom, in the order they appear.